# TaVRe PBE relaxed
data_TaVRe
_chemical_formula_sum 'Ta4 V4 Re4'
_cell_length_a 4.3561
_cell_length_b 4.3561
_cell_length_c 11.7557
_cell_angle_alpha 90.00
_cell_angle_beta 90.00
_cell_angle_gamma 120.00
_space_group_name_H-M_alt 'P 63/m m c'
_space_group_IT_number 194
_space_group_name_Hall '-P 6c 2c'
loop_
_atom_site_label
_atom_site_fract_x
_atom_site_fract_y
_atom_site_fract_z
_atom_site_occupancy
Ta1 0.0000 0.0000 0.0000 1
Ta2 0.0000 0.0000 0.2500 1
V1 0.3333 0.6667 0.1427 1
Re1 0.3333 0.6667 0.5829 1
# DOS at the Fermi energy = 0.745 states/eV per atom
# Energy = -11.095 eV per atom
# DFT formation energy = 0.04 eV per atom
# V = 16.098 Å³/atom